[1]
A plane-wave DFT calculation with PBE was carried out for Li2In2HPt4 after structural relaxation.

Unit cell a=5.7380 b=5.7380 c=7.8625 alpha=90.00 beta=90.00 gamma=90.00
With the nearest neighbours (Å) after each atom.
Space group I4/mmm (No. 139)
Unique sites:
Li: 0.0000 0.0000 0.2349 (multiplicity 4)  1 H 2.08
In: 0.0000 0.5000 0.2500 (multiplicity 4)  8 Pt 2.82, 4 Li 2.87
H: 0.0000 0.0000 0.5000 (multiplicity 2)  4 Pt 2.03, 2 Li 2.08
Pt: 0.2504 0.2504 0.0000 (multiplicity 8)  1 H 2.03

Computed properties:
The calculated density is 13.148 g/cm³. For the size of the total moment, the calculation gives 0.00 μB/f.u. As for the density of states at the Fermi level: 1.56 states/eV/f.u. For the total DFT energy (no corrections), the calculation gives -0.3424 Ry per atom.

---

[2]
A plane-wave DFT calculation with PBE was carried out for La2YS2O2 after structural relaxation.

Unit cell a=4.3295 b=4.3295 c=15.2006 alpha=90.00 beta=90.00 gamma=90.00
With the nearest neighbours (Å) after each atom.
Space group I4/mmm (No. 139)
Unique sites:
La: 0.0000 0.0000 0.1334 (multiplicity 4)  5 S 2.86-3.14, 4 O 2.97
Y: 0.0000 0.0000 0.5000 (multiplicity 2)  4 O 2.16
S: 0.0000 0.0000 0.3218 (multiplicity 4)  1 Y 2.71, 1 La 2.86
O: 0.0000 0.5000 0.0000 (multiplicity 4)  2 Y 2.16

Computed properties:
The calculated density is 5.395 g/cm³. For the size of the total moment, the calculation gives 0.00 μB/f.u. As for the density of states at the Fermi level: 3.82 states/eV/f.u. For the total DFT energy (no corrections), the calculation gives -0.5519 Ry per atom.

---

[3]
A plane-wave DFT calculation with PBE was carried out for TlCoSn2Bi after structural relaxation.

Unit cell a=4.9414 b=4.9414 c=5.4490 alpha=90.00 beta=90.00 gamma=90.00
With the nearest neighbours (Å) after each atom.
Space group P4/mmm (No. 123)
Unique sites:
Tl: 0.0000 0.0000 0.0000 (multiplicity 1)  4 Bi 3.49, 8 Sn 3.68
Co: 0.5000 0.5000 0.5000 (multiplicity 1)  4 Sn 2.47, 2 Bi 2.72
Sn: 0.0000 0.5000 0.5000 (multiplicity 2)  2 Co 2.47
Bi: 0.5000 0.5000 0.0000 (multiplicity 1)  2 Co 2.72

Computed properties:
As for the energy relative to the lowest polymorph listed for this composition: 0.0000 eV/atom. The calculated density is 8.858 g/cm³. For the size of the total moment, the calculation gives 0.00 μB/f.u. As for the density of states at the Fermi level: 3.62 states/eV/f.u. For the total DFT energy (no corrections), the calculation gives -0.3036 Ry per atom.

---

[4]
A plane-wave DFT calculation with PBE was carried out for ZrPIr2Pd after structural relaxation.

Unit cell a=4.8518 b=4.8518 c=4.8963 alpha=90.00 beta=90.00 gamma=90.00
With the nearest neighbours (Å) after each atom.
Space group P4/mmm (No. 123)
Unique sites:
Zr: 0.0000 0.0000 0.0000 (multiplicity 1)  4 Ir 2.43, 2 P 2.45
P: 0.0000 0.0000 0.5000 (multiplicity 1)  2 Zr 2.45
Ir: 0.0000 0.5000 0.0000 (multiplicity 2)  2 Zr 2.43
Pd: 0.5000 0.5000 0.5000 (multiplicity 1)  4 P 3.43, 8 Ir 3.45

Computed properties:
The calculated density is 8.832 g/cm³. For the size of the total moment, the calculation gives 1.09 μB/f.u. As for the density of states at the Fermi level: 6.07 states/eV/f.u. For the total DFT energy (no corrections), the calculation gives -0.4366 Ry per atom.

---

[5]
A plane-wave DFT calculation with PBE was carried out for Nd6SmYTm2 after structural relaxation.

Unit cell a=9.2902 b=15.3063 c=9.6821 alpha=90.00 beta=97.35 gamma=90.00
With the nearest neighbours (Å) after each atom.
Space group C2/c (No. 15)
Unique sites:
Nd: 0.0630 0.1765 0.4453 (multiplicity 8)  7 Nd 3.45-3.81, 1 Tm 3.51, 2 Sm 3.68-3.81
Nd: 0.0968 0.3907 0.6188 (multiplicity 8)  3 Nd 3.28-3.45, 3 Tm 3.32-3.49, 2 Y 3.47-3.58
Nd: 0.2140 0.2247 0.8157 (multiplicity 8)  3 Nd 3.28-3.65, 1 Y 3.48, 1 Tm 3.49, 1 Sm 3.60
Sm: 0.0000 0.0294 0.7500 (multiplicity 4)  4 Tm 3.44-3.47, 6 Nd 3.60-3.81
Y: 0.0000 0.4099 0.2500 (multiplicity 4)  6 Nd 3.47-3.58, 2 Tm 3.55
Tm: 0.2499 0.0486 0.0470 (multiplicity 8)  6 Nd 3.32-3.72, 2 Sm 3.44-3.47, 1 Y 3.55

Computed properties:
The calculated density is 7.017 g/cm³. For the size of the total moment, the calculation gives 0.00 μB/f.u. As for the density of states at the Fermi level: 14.68 states/eV/f.u. For the total DFT energy (no corrections), the calculation gives -0.3499 Ry per atom.

---

[6]
A plane-wave DFT calculation with PBE was carried out for Ac2AlZn3Au4 after structural relaxation.

Unit cell a=4.5394 b=4.5394 c=10.7501 alpha=90.00 beta=90.00 gamma=90.00
With the nearest neighbours (Å) after each atom.
Space group P-4m2 (No. 115)
Unique sites:
Ac: 0.0000 0.5000 0.2483 (multiplicity 2)  8 Au 3.46-3.53, 6 Zn 3.47-3.50, 2 Al 3.50
Al: 0.5000 0.5000 0.0000 (multiplicity 1)  4 Au 2.65
Zn: 0.0000 0.0000 0.0000 (multiplicity 1)  4 Au 2.65
Zn: 0.0000 0.5000 0.6287 (multiplicity 2)  5 Au 2.62-2.66
Au: 0.0000 0.0000 0.5000 (multiplicity 1)  4 Zn 2.66
Au: 0.0000 0.5000 0.8723 (multiplicity 2)  3 Zn 2.62-2.65, 2 Al 2.65
Au: 0.5000 0.5000 0.5000 (multiplicity 1)  4 Zn 2.66

Computed properties:
The calculated density is 10.983 g/cm³. For the size of the total moment, the calculation gives 0.00 μB/f.u. As for the density of states at the Fermi level: 6.41 states/eV/f.u. For the total DFT energy (no corrections), the calculation gives -0.2561 Ry per atom.

---

[7]
A plane-wave DFT calculation with PBE was carried out for TaMn2TlAg after structural relaxation.

Unit cell a=4.7208 b=4.7208 c=5.3657 alpha=90.00 beta=90.00 gamma=90.00
With the nearest neighbours (Å) after each atom.
Space group P4/mmm (No. 123)
Unique sites:
Ta: 0.0000 0.0000 0.0000 (multiplicity 1)  4 Mn 2.36
Mn: 0.0000 0.5000 0.0000 (multiplicity 2)  2 Ta 2.36
Tl: 0.5000 0.5000 0.5000 (multiplicity 1)  4 Ag 3.34, 8 Mn 3.57
Ag: 0.0000 0.0000 0.5000 (multiplicity 1)  2 Ta 2.68

Computed properties:
The calculated density is 8.375 g/cm³. For the size of the total moment, the calculation gives 4.99 μB/f.u. As for the density of states at the Fermi level: 4.30 states/eV/f.u. For the total DFT energy (no corrections), the calculation gives -0.4319 Ry per atom.

---

[8]
A plane-wave DFT calculation with PBE was carried out for NpNiGe2 after structural relaxation.

Unit cell a=4.1155 b=4.1155 c=4.1630 alpha=90.00 beta=90.00 gamma=90.00
With the nearest neighbours (Å) after each atom.
Space group P4/mmm (No. 123)
Unique sites:
Np: 0.0000 0.0000 0.0000 (multiplicity 1)  4 Ni 2.91, 8 Ge 2.93
Ni: 0.5000 0.5000 0.0000 (multiplicity 1)  4 Np 2.91, 8 Ge 2.93
Ge: 0.0000 0.5000 0.5000 (multiplicity 2)  4 Ge 2.91, 4 Ni 2.93, 4 Np 2.93

Computed properties:
The calculated density is 10.385 g/cm³. For the size of the total moment, the calculation gives 3.45 μB/f.u. As for the density of states at the Fermi level: 8.99 states/eV/f.u. For the total DFT energy (no corrections), the calculation gives -0.5189 Ry per atom.